Here is crystalline Cd2HgF4 at its relaxed geometry from Alexandria. Energies are from PBE.

Cell: 4.8660 4.8660 11.5926 Å, 90.00 90.00 90.00°
Atoms (fractional coordinates):
Cd: 0.0000 0.0000 0.1157
Cd: 0.0000 0.0000 0.8843
Cd: 0.5000 0.5000 0.3843
Cd: 0.5000 0.5000 0.6157
Hg: 0.0000 0.0000 0.5000
Hg: 0.5000 0.5000 0.0000
F: 0.0000 0.0000 0.2981
F: 0.0000 0.0000 0.7019
F: 0.0000 0.5000 0.0000
F: 0.0000 0.5000 0.5000
F: 0.5000 0.0000 0.0000
F: 0.5000 0.0000 0.5000
F: 0.5000 0.5000 0.2019
F: 0.5000 0.5000 0.7981

Values from the calculation:
Electronic total energy: -2.75 eV per atom
Symmetry: I4/mmm (139)
Spin magnetization: 0.00 μB/f.u.